(1)
First-principles (PBE-GGA) data for a relaxed structure of Rb2HfNbBr, as listed in the Alexandria database.

Computed properties:
ΔE_f (raw): 1.201 eV per atom
Volume: 208 Å³ per cell

Cell: 6.267 5.286 6.267 Å, 90.00 90.00 90.00°
Site moments in Bohr magnetons follow the coordinates.
Sites, in units of the cell vectors:
Hf 0.000 0.500 0.000  0.96
Nb 0.500 0.500 0.500  2.98
Rb 0.000 0.000 0.500  0.04
Rb 0.500 0.000 0.000  0.04
Br 0.000 0.000 0.000  0.01


(2)
First-principles (PBE-GGA) data for a relaxed structure of Rb2HfNbBr6, as listed in the Alexandria database.

Computed properties:
ΔE_f (raw): -0.971 eV per atom
Volume: 316 Å³ per cell

Cell: 7.648 7.648 7.644 Å, 59.99 59.99 90.00°
Site moments in Bohr magnetons follow the coordinates.
Sites, in units of the cell vectors:
Rb 0.250 0.750 0.500  0.00
Rb 0.750 0.250 0.500  0.00
Br 0.751 0.751 0.000  0.01
Br 0.249 0.751 0.000  0.01
Br 0.751 0.751 0.498  0.01
Br 0.249 0.249 0.502  0.01
Br 0.751 0.249 0.000  0.01
Br 0.249 0.249 0.000  0.01
Hf 0.000 0.000 0.000  -0.89
Nb 0.500 0.500 0.000  1.87


(3)
First-principles (PBE-GGA) data for a relaxed structure of HfNbSe2Br, as listed in the Alexandria database.

Computed properties:
ΔE_f (raw): 0.103 eV per atom
Volume: 137 Å³ per cell
Relative energy among the computed polymorphs: 0.0 meV per atom

Cell: 5.185 5.185 5.107 Å, 90.00 90.00 90.00°
Site moments in Bohr magnetons follow the coordinates.
Sites, in units of the cell vectors:
Hf 0.000 0.000 0.000  0.07
Nb 0.500 0.500 0.500  2.91
Br 0.000 0.000 0.500  0.03
Se 0.000 0.500 0.000  -0.06
Se 0.500 0.000 0.000  -0.06


(4)
First-principles (PBE-GGA) data for a relaxed structure of HfNbSe2Br, as listed in the Alexandria database.

Computed properties:
ΔE_f (raw): 0.285 eV per atom
Volume: 128 Å³ per cell
Relative energy among the computed polymorphs: 181.3 meV per atom

Cell: 5.051 5.051 5.024 Å, 90.00 90.00 90.00°
Site moments in Bohr magnetons follow the coordinates.
Sites, in units of the cell vectors:
Se 0.000 0.500 0.000  -0.04
Se 0.500 0.000 0.000  -0.04
Nb 0.000 0.000 0.000  0.38
Br 0.000 0.000 0.500  0.01
Hf 0.500 0.500 0.500  1.04


(5)
First-principles (PBE-GGA) data for a relaxed structure of Nd2HfBr, as listed in the Alexandria database.

Computed properties:
ΔE_f (raw): -0.095 eV per atom
Volume: 113 Å³ per cell

Cell: 3.394 3.394 11.546 Å, 81.55 81.55 60.00°
Sites, in units of the cell vectors:
Hf 0.000 0.000 0.000
Br 0.500 0.500 0.500
Nd 0.905 0.905 0.284
Nd 0.095 0.095 0.716


(6)
First-principles (PBE-GGA) data for a relaxed structure of NdHfBr2, as listed in the Alexandria database.

Computed properties:
ΔE_f (raw): -0.580 eV per atom
Volume: 103 Å³ per cell

Cell: 3.424 3.424 10.330 Å, 80.46 80.46 60.00°
Sites, in units of the cell vectors:
Hf 0.500 0.500 0.500
Br 0.102 0.102 0.695
Br 0.898 0.898 0.305
Nd 0.000 0.000 0.000


(7)
First-principles (PBE-GGA) data for a relaxed structure of NdHfBr, as listed in the Alexandria database.

Computed properties:
ΔE_f (raw): -0.573 eV per atom
Volume: 167 Å³ per cell

Cell: 5.612 5.612 10.579 Å, 60.50 60.50 35.79°
Sites, in units of the cell vectors:
Br 0.442 0.442 0.785
Br 0.311 0.311 0.522
Hf 0.260 0.260 0.113
Hf 0.494 0.494 0.195
Nd 0.634 0.634 0.422
Nd 0.119 0.119 0.885


(8)
First-principles (PBE-GGA) data for a relaxed structure of HfNiBr2, as listed in the Alexandria database.

Computed properties:
ΔE_f (raw): 0.258 eV per atom
Volume: 187 Å³ per cell
Relative energy among the computed polymorphs: 190.2 meV per atom

Cell: 6.124 6.124 6.608 Å, 62.40 62.40 90.00°
Site moments in Bohr magnetons follow the coordinates.
Sites, in units of the cell vectors:
Ni 0.500 0.500 0.000  0.06
Ni 0.250 0.750 0.500  0.06
Hf 0.000 0.000 0.000  0.77
Hf 0.750 0.250 0.500  0.77
Br 0.168 0.625 0.250  0.03
Br 0.875 0.832 0.750  0.03
Br 0.582 0.125 0.250  0.03
Br 0.375 0.418 0.750  0.03


(9)
First-principles (PBE-GGA) data for a relaxed structure of HfNiBr2, as listed in the Alexandria database.

Computed properties:
ΔE_f (raw): 0.170 eV per atom
Volume: 73 Å³ per cell
Relative energy among the computed polymorphs: 102.2 meV per atom

Cell: 4.683 4.683 4.683 Å, 60.00 60.00 60.00°
Sites, in units of the cell vectors:
Br 0.750 0.750 0.750
Br 0.250 0.250 0.250
Ni 0.000 0.000 0.000
Hf 0.500 0.500 0.500


(10)
First-principles (PBE-GGA) data for a relaxed structure of HfNi3Br, as listed in the Alexandria database.

Computed properties:
ΔE_f (raw): 0.753 eV per atom
Volume: 84 Å³ per cell
Relative energy among the computed polymorphs: 0.0 meV per atom

Cell: 4.373 4.373 4.373 Å, 90.00 90.00 90.00°
Sites, in units of the cell vectors:
Br 0.000 0.000 0.000
Hf 0.500 0.500 0.500
Ni 0.000 0.500 0.000
Ni 0.000 0.000 0.500
Ni 0.500 0.000 0.000


(11)
First-principles (PBE-GGA) data for a relaxed structure of HfNiBr2, as listed in the Alexandria database.

Computed properties:
ΔE_f (raw): 0.068 eV per atom
Volume: 88 Å³ per cell
Relative energy among the computed polymorphs: 0.0 meV per atom

Cell: 8.560 8.560 8.560 Å, 23.62 23.62 23.62°
Site moments in Bohr magnetons follow the coordinates.
Sites, in units of the cell vectors:
Br 0.895 0.895 0.895  0.06
Br 0.105 0.105 0.105  0.06
Hf 0.000 0.000 0.000  -0.50
Ni 0.500 0.500 0.500  0.72


(12)
First-principles (PBE-GGA) data for a relaxed structure of HfNi3Br, as listed in the Alexandria database.

Computed properties:
ΔE_f (raw): 1.176 eV per atom
Volume: 104 Å³ per cell
Relative energy among the computed polymorphs: 423.6 meV per atom

Cell: 4.703 4.703 4.703 Å, 90.00 90.00 90.00°
Sites, in units of the cell vectors:
Hf 0.000 0.000 0.000
Ni 0.000 0.500 0.000
Ni 0.000 0.000 0.500
Ni 0.500 0.000 0.000
Br 0.500 0.500 0.500


(13)
First-principles (PBE-GGA) data for a relaxed structure of HfNiSe2Br, as listed in the Alexandria database.

Computed properties:
ΔE_f (raw): 0.112 eV per atom
Volume: 104 Å³ per cell
Relative energy among the computed polymorphs: 107.2 meV per atom

Cell: 4.743 4.743 4.604 Å, 90.00 90.00 90.00°
Sites, in units of the cell vectors:
Br 0.000 0.000 0.500
Se 0.000 0.500 0.000
Se 0.500 0.000 0.000
Hf 0.500 0.500 0.500
Ni 0.000 0.000 0.000


(14)
First-principles (PBE-GGA) data for a relaxed structure of HfNiSe2Br, as listed in the Alexandria database.

Computed properties:
ΔE_f (raw): 0.005 eV per atom
Volume: 140 Å³ per cell
Relative energy among the computed polymorphs: 0.0 meV per atom

Cell: 5.175 5.175 5.212 Å, 90.00 90.00 90.00°
Site moments in Bohr magnetons follow the coordinates.
Sites, in units of the cell vectors:
Se 0.500 0.000 0.000  0.05
Se 0.000 0.500 0.000  0.05
Hf 0.000 0.000 0.000  -0.01
Ni 0.500 0.500 0.500  0.93
Br 0.000 0.000 0.500  0.00


(15)
First-principles (PBE-GGA) data for a relaxed structure of HfNiSeBr2, as listed in the Alexandria database.

Computed properties:
ΔE_f (raw): 0.201 eV per atom
Volume: 108 Å³ per cell
Relative energy among the computed polymorphs: 205.5 meV per atom

Cell: 4.692 4.692 4.923 Å, 90.00 90.00 90.00°
Site moments in Bohr magnetons follow the coordinates.
Sites, in units of the cell vectors:
Hf 0.500 0.500 0.500  0.67
Br 0.000 0.500 0.000  -0.02
Br 0.500 0.000 0.000  -0.02
Ni 0.000 0.000 0.000  -0.08
Se 0.000 0.000 0.500  -0.04


(16)
First-principles (PBE-GGA) data for a relaxed structure of HfNiSeBr2, as listed in the Alexandria database.

Computed properties:
ΔE_f (raw): -0.004 eV per atom
Volume: 142 Å³ per cell
Relative energy among the computed polymorphs: 0.0 meV per atom

Cell: 5.243 5.243 5.160 Å, 90.00 90.00 90.00°
Site moments in Bohr magnetons follow the coordinates.
Sites, in units of the cell vectors:
Br 0.000 0.500 0.000  0.00
Br 0.500 0.000 0.000  0.00
Hf 0.000 0.000 0.000  0.01
Ni 0.500 0.500 0.500  0.92
Se 0.000 0.000 0.500  0.01


(17)
First-principles (PBE-GGA) data for a relaxed structure of HfNiWBr2, as listed in the Alexandria database.

Computed properties:
ΔE_f (raw): 1.268 eV per atom
Volume: 113 Å³ per cell

Cell: 4.907 4.673 4.907 Å, 90.00 90.00 90.00°
Sites, in units of the cell vectors:
Br 0.000 0.000 0.500
Br 0.500 0.000 0.000
W 0.000 0.000 0.000
Hf 0.500 0.500 0.500
Ni 0.000 0.500 0.000


(18)
First-principles (PBE-GGA) data for a relaxed structure of HfBrO2, as listed in the Alexandria database.

Computed properties:
ΔE_f (raw): -2.341 eV per atom
Volume: 76 Å³ per cell
Relative energy among the computed polymorphs: 0.0 meV per atom

Cell: 8.890 8.890 8.890 Å, 20.64 20.64 20.64°
Sites, in units of the cell vectors:
O 0.129 0.129 0.129
O 0.871 0.871 0.871
Hf 0.500 0.500 0.500
Br 0.000 0.000 0.000


(19)
First-principles (PBE-GGA) data for a relaxed structure of HfBrO2, as listed in the Alexandria database.

Computed properties:
ΔE_f (raw): -2.231 eV per atom
Volume: 182 Å³ per cell
Relative energy among the computed polymorphs: 109.6 meV per atom

Cell: 6.358 6.358 6.359 Å, 60.01 60.01 90.00°
Site moments in Bohr magnetons follow the coordinates.
Sites, in units of the cell vectors:
O 0.875 0.125 0.750  0.06
O 0.875 0.625 0.250  0.05
O 0.375 0.125 0.750  0.07
O 0.875 0.125 0.250  0.06
Br 0.250 0.750 0.500  0.64
Br 0.500 0.500 0.000  0.64
Hf 0.000 0.000 0.000  0.00
Hf 0.750 0.250 0.500  0.00


(20)
First-principles (PBE-GGA) data for a relaxed structure of Hf2BrO, as listed in the Alexandria database.

Computed properties:
ΔE_f (raw): -0.297 eV per atom
Volume: 64 Å³ per cell
Relative energy among the computed polymorphs: 648.6 meV per atom

Cell: 4.483 4.483 4.483 Å, 60.00 60.00 60.00°
Sites, in units of the cell vectors:
Hf 0.250 0.250 0.250
Hf 0.750 0.750 0.750
Br 0.500 0.500 0.500
O 0.000 0.000 0.000


(21)
First-principles (PBE-GGA) data for a relaxed structure of HfBrO2, as listed in the Alexandria database.

Computed properties:
ΔE_f (raw): -0.099 eV per atom
Volume: 67 Å³ per cell
Relative energy among the computed polymorphs: 2241.2 meV per atom

Cell: 7.854 7.854 7.854 Å, 23.41 23.41 23.41°
Sites, in units of the cell vectors:
O 0.916 0.916 0.916
O 0.084 0.084 0.084
Br 0.500 0.500 0.500
Hf 0.000 0.000 0.000


(22)
First-principles (PBE-GGA) data for a relaxed structure of HfBrO3, as listed in the Alexandria database.

Computed properties:
ΔE_f (raw): 0.321 eV per atom
Volume: 67 Å³ per cell

Cell: 4.059 4.059 4.059 Å, 90.00 90.00 90.00°
Sites, in units of the cell vectors:
O 0.500 0.000 0.000
O 0.000 0.000 0.500
O 0.000 0.500 0.000
Hf 0.500 0.500 0.500
Br 0.000 0.000 0.000


(23)
First-principles (PBE-GGA) data for a relaxed structure of HfBr3O, as listed in the Alexandria database.

Computed properties:
ΔE_f (raw): -0.177 eV per atom
Volume: 140 Å³ per cell

Cell: 5.195 5.195 5.195 Å, 90.00 90.00 90.00°
Sites, in units of the cell vectors:
Br 0.000 0.500 0.000
Br 0.500 0.000 0.000
Br 0.000 0.000 0.500
Hf 0.000 0.000 0.000
O 0.500 0.500 0.500


(24)
First-principles (PBE-GGA) data for a relaxed structure of Hf2BrO, as listed in the Alexandria database.

Computed properties:
ΔE_f (raw): -0.945 eV per atom
Volume: 167 Å³ per cell
Relative energy among the computed polymorphs: 0.0 meV per atom

Cell: 5.484 5.484 6.786 Å, 66.17 66.17 90.00°
Sites, in units of the cell vectors:
O 0.500 0.500 0.000
O 0.250 0.750 0.500
Br 0.000 0.000 0.000
Br 0.750 0.250 0.500
Hf 0.375 0.483 0.750
Hf 0.517 0.125 0.250
Hf 0.233 0.625 0.250
Hf 0.875 0.767 0.750


(25)
First-principles (PBE-GGA) data for a relaxed structure of HfBr2O, as listed in the Alexandria database.

Computed properties:
ΔE_f (raw): -1.883 eV per atom
Volume: 204 Å³ per cell

Cell: 10.166 10.166 7.454 Å, 47.01 47.01 90.00°
Sites, in units of the cell vectors:
Hf 0.750 0.250 0.500
Hf 0.000 0.000 0.000
O 0.250 0.750 0.500
O 0.500 0.500 0.000
Br 0.375 0.213 0.750
Br 0.787 0.125 0.250
Br 0.875 0.037 0.750
Br 0.963 0.625 0.250


(26)
First-principles (PBE-GGA) data for a relaxed structure of HfBrO2, as listed in the Alexandria database.

Computed properties:
ΔE_f (raw): -0.887 eV per atom
Volume: 50 Å³ per cell
Relative energy among the computed polymorphs: 1453.6 meV per atom

Cell: 4.130 4.130 4.130 Å, 60.00 60.00 60.00°
Sites, in units of the cell vectors:
Br 0.000 0.000 0.000
O 0.250 0.250 0.250
O 0.750 0.750 0.750
Hf 0.500 0.500 0.500


(27)
First-principles (PBE-GGA) data for a relaxed structure of HfBr3O, as listed in the Alexandria database.

Computed properties:
ΔE_f (raw): 0.606 eV per atom
Volume: 105 Å³ per cell

Cell: 4.712 4.712 4.712 Å, 90.00 90.00 90.00°
Sites, in units of the cell vectors:
Br 0.500 0.000 0.000
Br 0.000 0.000 0.500
Br 0.000 0.500 0.000
Hf 0.500 0.500 0.500
O 0.000 0.000 0.000


(28)
First-principles (PBE-GGA) data for a relaxed structure of HfBr2O, as listed in the Alexandria database.

Computed properties:
ΔE_f (raw): -0.405 eV per atom
Volume: 68 Å³ per cell

Cell: 4.592 4.592 4.592 Å, 60.00 60.00 60.00°
Sites, in units of the cell vectors:
Br 0.750 0.750 0.750
Br 0.250 0.250 0.250
Hf 0.500 0.500 0.500
O 0.000 0.000 0.000


no.,Fermi-level density of states (states/eV/cell)
1,4.59
2,4.41
3,5.53
4,5.18
5,5.29
6,4.27
7,5.22
8,10.46
9,2.32
10,3.94
11,4.70
12,3.58
13,3.75
14,10.72
15,4.09
16,8.85
17,6.73
18,1.43
19,15.12
20,5.56
21,5.24
22,3.66
23,17.07
24,2.46
25,0.00
26,5.83
27,8.33
28,0.00